1.
This record from the Alexandria database describes Dy6YTl4 after structural relaxation. The functional is GGA-PBE.

Cell lengths 3.7187, 10.0927, 10.0927 Å; angles 120.00, 90.00, 90.00 degrees
With the nearest neighbours (Å) after each atom.
Element x y z (fractional)
Y1 0.0000 0.0000 0.0000  6 Tl 3.36, 2 Y 3.72
Dy1 0.0000 0.5403 0.4597  5 Tl 3.29-3.62
Tl1 0.5000 0.8400 0.1600  6 Dy 3.11-3.29, 2 Y 3.36
Dy2 0.0000 0.5403 0.0805  5 Tl 3.29-3.62
Dy3 0.0000 0.9195 0.4597  5 Tl 3.29-3.62
Dy4 0.5000 0.1912 0.3824  4 Tl 3.10-3.11
Tl2 0.5000 0.8400 0.6800  6 Dy 3.11-3.29, 2 Y 3.36
Dy5 0.5000 0.6176 0.8088  4 Tl 3.10-3.11
Tl3 0.0000 0.3333 0.6667  6 Dy 3.10
Tl4 0.5000 0.3200 0.1600  6 Dy 3.11-3.29, 2 Y 3.36
Dy6 0.5000 0.1912 0.8088  4 Tl 3.10-3.11

DOS(E_F), states/eV/atom: 0.84
Formation energy, eV/atom: -0.229
Total moment, μB per cell: 2.30
Calculated volume, A^3/atom: 29.822

2.
This record from the Alexandria database describes DyY5Tl3 after structural relaxation. The functional is GGA-PBE.

Cell lengths 6.7524, 9.3829, 9.3830 Å; angles 120.00, 90.00, 90.00 degrees
With the nearest neighbours (Å) after each atom.
Element x y z (fractional)
Tl1 0.7500 0.0000 0.6641  5 Y 3.13-3.38
Y1 0.2500 0.3307 0.3306  5 Tl 3.13-3.38
Tl2 0.2500 0.0000 0.3359  5 Y 3.13-3.38
Y2 0.0000 0.3333 0.6667  8 Y 3.38-3.57, 6 Tl 3.54
Y3 0.5000 0.6667 0.3333  8 Y 3.38-3.57, 6 Tl 3.54
Tl3 0.2500 0.6640 0.6641  5 Y 3.13-3.38
Y4 0.5000 0.3333 0.6667  8 Y 3.38-3.57, 6 Tl 3.54
Tl4 0.7500 0.3360 0.3359  5 Y 3.13-3.38
Y5 0.2500 0.0000 0.6694  5 Tl 3.13-3.38
Y6 0.7500 0.0000 0.3306  5 Tl 3.13-3.38
Y7 0.0000 0.6667 0.3333  8 Y 3.38-3.57, 6 Tl 3.54
Dy1 0.0000 0.0000 0.0000  2 Dy 3.38, 6 Y 3.53, 6 Tl 3.58
Y8 0.7500 0.3306 0.0000  5 Tl 3.13-3.38
Tl5 0.7500 0.6640 0.0000  5 Y 3.13-3.38
Dy2 0.5000 0.0000 0.0000  2 Dy 3.38, 6 Y 3.53, 6 Tl 3.58
Y9 0.2500 0.6694 0.0000  5 Tl 3.13-3.38
Y10 0.7500 0.6693 0.6694  5 Tl 3.13-3.38
Tl6 0.2500 0.3360 0.0000  5 Y 3.13-3.38

DOS(E_F), states/eV/atom: 1.16
Formation energy, eV/atom: -0.293
Total moment, μB per cell: 3.09
Calculated volume, A^3/atom: 28.602

3.
This record from the Alexandria database describes Dy6Y3Tl after structural relaxation. The functional is GGA-PBE.

Cell lengths 5.5973, 12.8597, 12.4009 Å; angles 136.08, 90.00, 90.00 degrees
With the nearest neighbours (Å) after each atom.
Element x y z (fractional)
Dy1 0.7501 0.7005 0.5605  5 Dy 3.45-3.61, 7 Y 3.47-3.67
Y1 0.7500 0.2952 0.2714  9 Dy 3.46-3.69, 3 Y 3.52-3.58
Y2 0.2501 0.1094 0.5484  9 Dy 3.45-3.68, 1 Tl 3.47, 2 Y 3.51
Dy2 0.2503 0.5130 0.8466  5 Dy 3.38-3.61, 3 Tl 3.39-3.57, 4 Y 3.48-3.66
Dy3 0.7500 0.8973 0.9617  4 Y 3.46-3.55, 7 Dy 3.48-3.76, 1 Tl 3.61
Dy4 0.7501 0.1027 0.8642  8 Dy 3.43-3.61, 2 Tl 3.46, 2 Y 3.68-3.69
Dy5 0.2499 0.8973 0.1358  8 Dy 3.43-3.61, 2 Tl 3.46, 2 Y 3.68-3.69
Y3 0.7499 0.8906 0.4516  9 Dy 3.45-3.68, 1 Tl 3.47, 2 Y 3.51
Y4 0.7501 0.5042 0.6736  8 Dy 3.48-3.67, 1 Tl 3.51, 3 Y 3.52-3.58
Dy6 0.2500 0.8925 0.6187  6 Dy 3.45-3.76, 5 Y 3.47-3.54, 1 Tl 3.67
Tl1 0.2500 0.3032 0.9353  10 Dy 3.39-3.67, 2 Y 3.47-3.51
Dy7 0.2500 0.1027 0.0383  4 Y 3.46-3.55, 7 Dy 3.48-3.76, 1 Tl 3.61
Tl2 0.7500 0.6968 0.0647  10 Dy 3.39-3.67, 2 Y 3.47-3.51
Dy8 0.2497 0.6972 0.2225  5 Dy 3.38-3.56, 3 Tl 3.41-3.52, 4 Y 3.45-3.68
Y5 0.2500 0.7048 0.7286  9 Dy 3.46-3.69, 3 Y 3.52-3.58
Dy9 0.2499 0.2995 0.4395  5 Dy 3.45-3.61, 7 Y 3.47-3.67
Dy10 0.7500 0.1075 0.3813  6 Dy 3.45-3.76, 5 Y 3.47-3.54, 1 Tl 3.67
Dy11 0.7503 0.3028 0.7775  5 Dy 3.38-3.56, 3 Tl 3.41-3.52, 4 Y 3.45-3.68
Y6 0.2499 0.4958 0.3264  8 Dy 3.48-3.67, 1 Tl 3.51, 3 Y 3.52-3.58
Dy12 0.7497 0.4870 0.1534  5 Dy 3.38-3.61, 3 Tl 3.39-3.57, 4 Y 3.48-3.66

Energy above the most stable polymorph in this dataset, meV/atom: 0.0
DOS(E_F), states/eV/atom: 1.58
Formation energy, eV/atom: -0.054
Total moment, μB per cell: 0.00
Calculated volume, A^3/atom: 30.961